No. 1
{"formula": "Zr4ZnTc3", "functional": "GGA-PBE", "state": "optimized geometry", "cell": [[-2.338, -4.042, 0.143], [3.097, -1.590, 5.676], [-6.822, 4.117, 4.875]], "species": ["Tc", "Tc", "Tc", "Tc", "Tc", "Tc", "Zr", "Zr", "Zr", "Zr", "Zr", "Zr", "Zr", "Zr", "Zn", "Zn"], "frac_coords": [[0.500, 0.500, 0.750], [0.500, 0.000, 0.750], [0.000, 0.000, 0.500], [0.500, 0.000, 0.250], [0.500, 0.500, 0.250], [0.000, 0.000, 0.000], [0.500, 0.243, 0.000], [0.500, 0.243, 0.500], [0.500, 0.757, 0.000], [0.000, 0.243, 0.750], [0.000, 0.757, 0.750], [0.000, 0.243, 0.250], [0.500, 0.757, 0.500], [0.000, 0.757, 0.250], [0.000, 0.500, 0.000], [0.000, 0.500, 0.500]], "e_tot_ry_per_atom": -0.63738, "delta_e_f_ev_per_atom": -0.351, "dos_ef_per_ev_atom": 0.67, "mass_density_g_cm3": 8.3, "total_magnetization_mub_per_cell": 0.00}



No. 2
{"formula": "Zr2Zn15Tc2", "functional": "GGA-PBE", "state": "optimized geometry", "cell": [[4.968, -4.432, -0.048], [4.968, 4.432, -0.048], [1.078, 0.000, 6.570]], "species": ["Zn", "Zn", "Zn", "Zn", "Zn", "Zn", "Zn", "Zn", "Zn", "Zn", "Zn", "Zn", "Zn", "Zn", "Zn", "Zr", "Zr", "Tc", "Tc"], "frac_coords": [[0.000, 0.294, 0.706], [0.706, 0.294, 0.000], [0.294, 0.706, 0.000], [0.000, 0.500, 0.000], [0.354, 0.846, 0.354], [0.354, 0.354, 0.846], [0.646, 0.646, 0.154], [0.000, 0.706, 0.294], [0.154, 0.646, 0.646], [0.500, 0.000, 0.000], [0.294, 0.000, 0.706], [0.846, 0.354, 0.354], [0.706, 0.000, 0.294], [0.646, 0.154, 0.646], [0.000, 0.000, 0.500], [0.665, 0.665, 0.665], [0.335, 0.335, 0.335], [0.904, 0.904, 0.904], [0.096, 0.096, 0.096]], "e_tot_ry_per_atom": -0.22718, "delta_e_f_ev_per_atom": -0.094, "dos_ef_per_ev_atom": 0.48, "mass_density_g_cm3": 7.8, "total_magnetization_mub_per_cell": 0.00}



No. 3
{"formula": "Zr6Zn3Tc", "functional": "GGA-PBE", "state": "optimized geometry", "cell": [[-1.681, -1.796, 4.209], [-6.885, -2.332, -3.745], [6.745, -7.743, -0.610]], "species": ["Tc", "Tc", "Zn", "Zn", "Zn", "Zn", "Zn", "Zn", "Zr", "Zr", "Zr", "Zr", "Zr", "Zr", "Zr", "Zr", "Zr", "Zr", "Zr", "Zr"], "frac_coords": [[0.750, 0.049, 0.404], [0.250, 0.951, 0.596], [0.750, 0.234, 0.022], [0.250, 0.388, 0.793], [0.750, 0.612, 0.207], [0.750, 0.470, 0.616], [0.250, 0.530, 0.384], [0.250, 0.766, 0.978], [0.250, 0.664, 0.679], [0.250, 0.237, 0.503], [0.250, 0.458, 0.091], [0.750, 0.914, 0.126], [0.250, 0.844, 0.307], [0.750, 0.542, 0.909], [0.250, 0.132, 0.175], [0.250, 0.086, 0.874], [0.750, 0.868, 0.825], [0.750, 0.336, 0.321], [0.750, 0.156, 0.693], [0.750, 0.763, 0.497]], "e_tot_ry_per_atom": -0.49703, "delta_e_f_ev_per_atom": -0.215, "dos_ef_per_ev_atom": 1.00, "mass_density_g_cm3": 7.2, "total_magnetization_mub_per_cell": 0.00}



No. 4
{"formula": "ZrZnTc2", "functional": "GGA-PBE", "state": "optimized geometry", "cell": [[-5.260, -0.714, 0.133], [-3.884, -3.535, -0.786], [-1.481, -1.916, 3.661]], "species": ["Tc", "Tc", "Zn", "Zr"], "frac_coords": [[0.737, 0.737, 0.763], [0.013, 0.013, 0.987], [0.488, 0.488, 0.512], [0.262, 0.262, 0.238]], "e_tot_ry_per_atom": -0.56704, "delta_e_f_ev_per_atom": -0.076, "dos_ef_per_ev_atom": 0.81, "mass_density_g_cm3": 9.0, "total_magnetization_mub_per_cell": 0.00}



No. 5
{"formula": "ZrZnTc2", "functional": "GGA-PBE", "state": "optimized geometry", "cell": [[4.780, -0.034, 0.000], [1.245, 4.616, 0.000], [-3.013, -2.291, 2.921]], "species": ["Zr", "Tc", "Tc", "Zn"], "frac_coords": [[0.750, 0.250, 0.500], [0.000, 0.000, 0.000], [0.250, 0.750, 0.500], [0.500, 0.500, 0.000]], "e_tot_ry_per_atom": -0.56139, "delta_e_f_ev_per_atom": 0.000, "dos_ef_per_ev_atom": 1.14, "mass_density_g_cm3": 9.1, "total_magnetization_mub_per_cell": 0.00}



No. 6
{"formula": "ZrZnTc3", "functional": "GGA-PBE", "state": "optimized geometry", "cell": [[-4.154, -0.731, 2.259], [-1.255, -3.189, -3.339], [2.016, -3.492, 2.577]], "species": ["Tc", "Tc", "Tc", "Zn", "Zr"], "frac_coords": [[0.000, 0.500, 0.000], [0.500, 0.000, 0.000], [0.000, 0.000, 0.500], [0.500, 0.500, 0.500], [0.000, 0.000, 0.000]], "e_tot_ry_per_atom": -0.46047, "delta_e_f_ev_per_atom": 1.919, "dos_ef_per_ev_atom": 1.02, "mass_density_g_cm3": 6.8, "total_magnetization_mub_per_cell": 3.12}



No. 7
{"formula": "ZrZnTc2", "functional": "GGA-PBE", "state": "optimized geometry", "cell": [[-3.336, -0.130, 3.519], [-1.170, -2.524, 3.974], [1.803, 2.318, 3.613]], "species": ["Tc", "Tc", "Zr", "Zn"], "frac_coords": [[0.495, 0.495, 0.541], [0.005, 0.005, 0.959], [0.250, 0.250, 0.250], [0.750, 0.750, 0.750]], "e_tot_ry_per_atom": -0.56168, "delta_e_f_ev_per_atom": -0.004, "dos_ef_per_ev_atom": 0.75, "mass_density_g_cm3": 8.9, "total_magnetization_mub_per_cell": 0.00}



No. 8
{"formula": "ZrZn17Tc", "functional": "GGA-PBE", "state": "optimized geometry", "cell": [[-0.470, -4.256, 5.206], [6.327, -2.311, -0.269], [2.571, 4.135, 4.662]], "species": ["Zn", "Zn", "Zn", "Zn", "Zn", "Zn", "Zn", "Zn", "Zn", "Zn", "Zn", "Zn", "Zn", "Zn", "Zn", "Zn", "Zn", "Zr", "Tc"], "frac_coords": [[0.037, 0.624, 0.331], [0.492, 0.968, 0.968], [0.332, 0.830, 0.332], [0.968, 0.492, 0.968], [0.106, 0.106, 0.106], [0.968, 0.968, 0.492], [0.037, 0.331, 0.624], [0.331, 0.624, 0.037], [0.331, 0.037, 0.624], [0.184, 0.679, 0.679], [0.332, 0.332, 0.830], [0.893, 0.893, 0.893], [0.679, 0.679, 0.184], [0.624, 0.037, 0.331], [0.830, 0.332, 0.332], [0.679, 0.184, 0.679], [0.624, 0.331, 0.037], [0.629, 0.629, 0.629], [0.423, 0.423, 0.423]], "e_tot_ry_per_atom": -0.15689, "delta_e_f_ev_per_atom": 0.001, "dos_ef_per_ev_atom": 0.40, "mass_density_g_cm3": 7.2, "total_magnetization_mub_per_cell": 0.00}



No. 9
{"formula": "ZrZnTc2", "functional": "GGA-PBE", "state": "optimized geometry", "cell": [[4.476, 0.000, 0.000], [0.000, 2.731, -0.011], [0.000, 0.798, 5.303]], "species": ["Zr", "Tc", "Tc", "Zn"], "frac_coords": [[0.500, 0.750, 0.750], [0.000, 0.978, 0.017], [0.000, 0.522, 0.483], [0.500, 0.250, 0.250]], "e_tot_ry_per_atom": -0.55871, "delta_e_f_ev_per_atom": 0.037, "dos_ef_per_ev_atom": 0.73, "mass_density_g_cm3": 9.0, "total_magnetization_mub_per_cell": 0.00}



No. 10
{"formula": "ZrZn3Tc", "functional": "GGA-PBE", "state": "optimized geometry", "cell": [[-0.719, -4.612, 0.036], [4.374, -0.671, 1.484], [-1.461, 0.263, 4.425]], "species": ["Zn", "Zn", "Zn", "Zr", "Tc"], "frac_coords": [[0.500, 0.000, 0.000], [0.000, 0.500, 0.000], [0.000, 0.000, 0.500], [0.500, 0.500, 0.500], [0.000, 0.000, 0.000]], "e_tot_ry_per_atom": -0.28763, "delta_e_f_ev_per_atom": 0.634, "dos_ef_per_ev_atom": 0.89, "mass_density_g_cm3": 6.3, "total_magnetization_mub_per_cell": 0.00}



No. 11
{"formula": "ZrZnTc2", "functional": "GGA-PBE", "state": "optimized geometry", "cell": [[5.189, -0.007, -0.022], [-2.438, 4.719, 0.007], [0.314, 0.805, 2.631]], "species": ["Tc", "Tc", "Zr", "Zn"], "frac_coords": [[0.500, 0.000, 0.500], [0.000, 0.000, 0.000], [0.500, 0.500, 0.000], [0.000, 0.500, 0.500]], "e_tot_ry_per_atom": -0.55936, "delta_e_f_ev_per_atom": 0.028, "dos_ef_per_ev_atom": 0.73, "mass_density_g_cm3": 9.1, "total_magnetization_mub_per_cell": 0.00}



No. 12
{"formula": "ZrZnTc4", "functional": "GGA-PBE", "state": "optimized geometry", "cell": [[0.000, 3.673, 3.673], [3.673, 0.000, 3.673], [3.673, 3.673, 0.000]], "species": ["Zr", "Tc", "Tc", "Tc", "Tc", "Zn"], "frac_coords": [[0.000, 0.000, 0.000], [0.376, 0.376, 0.376], [0.872, 0.376, 0.376], [0.376, 0.872, 0.376], [0.376, 0.376, 0.872], [0.750, 0.750, 0.750]], "e_tot_ry_per_atom": -0.62975, "delta_e_f_ev_per_atom": -0.020, "dos_ef_per_ev_atom": 0.78, "mass_density_g_cm3": 9.2, "total_magnetization_mub_per_cell": 0.00}